Record 1
Below is crystalline LiPr2TmSe5 at its relaxed geometry, with properties calculated at the PBE level.

Calculated density   6.32 g/cm³
Formation energy without anion corrections   -1760 meV per atom
Magnetization   0.0000 μB/atom
Total energy   -196.84 eV per cell

```
data_LiPr2TmSe5
_chemical_formula_sum 'Li4 Pr8 Tm4 Se20'
_cell_length_a 4.151
_cell_length_b 17.327
_cell_length_c 12.459
_cell_angle_alpha 90.00
_cell_angle_beta 90.00
_cell_angle_gamma 90.00
_space_group_name_H-M_alt 'C m c 21'
_space_group_IT_number 36
_space_group_name_Hall 'C 2c -2'
loop_
_atom_site_label
_atom_site_type_symbol
_atom_site_fract_x
_atom_site_fract_y
_atom_site_fract_z
Li1 Li 0.000 0.015 0.000
Pr1 Pr 0.000 0.374 0.816
Pr2 Pr 0.000 0.393 0.205
Tm1 Tm 0.000 0.303 0.522
Se1 Se 0.000 0.000 0.303
Se2 Se 0.000 0.139 0.517
Se3 Se 0.000 0.193 0.866
Se4 Se 0.000 0.215 0.178
Se5 Se 0.000 0.452 0.589
```

Record 2
Below is crystalline Na2Zn2I7 at its relaxed geometry, with properties calculated at the PBE level.

Calculated density   3.80 g/cm³
Formation energy without anion corrections   -682 meV per atom
Magnetization   0.0000 μB/atom
Total energy   -47.07 eV per cell

```
data_Na2Zn2I7
_chemical_formula_sum 'Na4 Zn4 I14'
_cell_length_a 10.076
_cell_length_b 13.319
_cell_length_c 7.344
_cell_angle_alpha 90.00
_cell_angle_beta 109.23
_cell_angle_gamma 90.00
_space_group_name_H-M_alt 'C 1 2/m 1'
_space_group_IT_number 12
_space_group_name_Hall '-C 2y'
loop_
_atom_site_label
_atom_site_type_symbol
_atom_site_fract_x
_atom_site_fract_y
_atom_site_fract_z
Na1 Na 0.000 0.210 0.000
Zn1 Zn 0.248 0.000 0.592
I1 I 0.000 0.500 0.500
I2 I 0.154 0.000 0.205
I3 I 0.225 0.169 0.748
```

Record 3
Below is crystalline Hf2CuPb2 at its relaxed geometry, with properties calculated at the PBE level.

Calculated density   12.42 g/cm³
Calculated formation energy   317 meV/atom
Magnetization   0.0000 μB/atom
Total energy   -59.67 eV per cell

```
data_Hf2CuPb2
_chemical_formula_sum 'Hf4 Cu2 Pb4'
_cell_length_a 7.119
_cell_length_b 7.119
_cell_length_c 4.404
_cell_angle_alpha 90.00
_cell_angle_beta 90.00
_cell_angle_gamma 90.00
_space_group_name_H-M_alt 'P 4/m b m'
_space_group_IT_number 127
_space_group_name_Hall '-P 4 2ab'
loop_
_atom_site_label
_atom_site_type_symbol
_atom_site_fract_x
_atom_site_fract_y
_atom_site_fract_z
Hf1 Hf 0.165 0.335 0.000
Cu1 Cu 0.000 0.000 0.500
Pb1 Pb 0.148 0.648 0.500
```

Record 4
Below is crystalline ScHgP2S at its relaxed geometry, with properties calculated at the PBE level.

Calculated density   4.55 g/cm³
Formation energy without anion corrections   229 meV per atom
Magnetization   0.2160 μB/atom
Total energy   -20.43 eV per cell

```
data_ScHgP2S
_chemical_formula_sum 'Sc1 Hg1 P2 S1'
_cell_length_a 5.066
_cell_length_b 5.066
_cell_length_c 4.827
_cell_angle_alpha 90.00
_cell_angle_beta 90.00
_cell_angle_gamma 90.00
_space_group_name_H-M_alt 'P 4/m m m'
_space_group_IT_number 123
_space_group_name_Hall '-P 4 2'
loop_
_atom_site_label
_atom_site_type_symbol
_atom_site_fract_x
_atom_site_fract_y
_atom_site_fract_z
Sc1 Sc 0.000 0.000 0.000
Hg1 Hg 0.500 0.500 0.500
P1 P 0.000 0.500 0.000
S1 S 0.000 0.000 0.500
```

Record 5
Below is crystalline Be2Au at its relaxed geometry, with properties calculated at the PBE level.

Calculated density   9.93 g/cm³
Calculated formation energy   10 meV/atom
Magnetization   0.0000 μB/atom
Total energy   -42.80 eV per cell

```
data_Be2Au
_chemical_formula_sum 'Be8 Au4'
_cell_length_a 2.785
_cell_length_b 14.772
_cell_length_c 3.494
_cell_angle_alpha 90.00
_cell_angle_beta 90.00
_cell_angle_gamma 90.00
_space_group_name_H-M_alt 'C m c m'
_space_group_IT_number 63
_space_group_name_Hall '-C 2c 2'
loop_
_atom_site_label
_atom_site_type_symbol
_atom_site_fract_x
_atom_site_fract_y
_atom_site_fract_z
Be1 Be 0.000 0.048 0.250
Be2 Be 0.000 0.430 0.250
Au1 Au 0.000 0.318 0.750
```

Record 6
Below is crystalline Te2HOsN at its relaxed geometry, with properties calculated at the PBE level.

Calculated density   7.02 g/cm³
Magnetization   0.0752 μB/atom
Total energy   -25.01 eV per cell

```
data_Te2HOsN
_chemical_formula_sum 'Te2 H1 Os1 N1'
_cell_length_a 5.465
_cell_length_b 5.465
_cell_length_c 3.649
_cell_angle_alpha 90.00
_cell_angle_beta 90.00
_cell_angle_gamma 90.00
_space_group_name_H-M_alt 'P 4/m m m'
_space_group_IT_number 123
_space_group_name_Hall '-P 4 2'
loop_
_atom_site_label
_atom_site_type_symbol
_atom_site_fract_x
_atom_site_fract_y
_atom_site_fract_z
Te1 Te 0.000 0.500 0.000
H1 H 0.000 0.000 0.500
Os1 Os 0.500 0.500 0.000
N1 N 0.500 0.500 0.500
```

Record 7
Below is crystalline NbCu at its relaxed geometry, with properties calculated at the PBE level.

Calculated density   4.83 g/cm³
Calculated formation energy   1742 meV/atom
Magnetization   0.0000 μB/atom
Total energy   -64.09 eV per cell

```
data_NbCu
_chemical_formula_sum 'Nb6 Cu6'
_cell_length_a 6.859
_cell_length_b 6.859
_cell_length_c 6.859
_cell_angle_alpha 90.00
_cell_angle_beta 90.00
_cell_angle_gamma 90.00
_space_group_name_H-M_alt 'P m -3 n'
_space_group_IT_number 223
_space_group_name_Hall '-P 4n 2 3'
loop_
_atom_site_label
_atom_site_type_symbol
_atom_site_fract_x
_atom_site_fract_y
_atom_site_fract_z
Nb1 Nb 0.000 0.250 0.500
Cu1 Cu 0.000 0.500 0.250
```

Record 8
Below is crystalline Li2PtAu6 at its relaxed geometry, with properties calculated at the PBE level.

Calculated density   12.25 g/cm³
Calculated formation energy   127 meV/atom
Magnetization   0.0000 μB/atom
Total energy   -56.79 eV per cell

```
data_Li2PtAu6
_chemical_formula_sum 'Li4 Pt2 Au12'
_cell_length_a 6.823
_cell_length_b 6.823
_cell_length_c 8.097
_cell_angle_alpha 90.00
_cell_angle_beta 90.00
_cell_angle_gamma 90.00
_space_group_name_H-M_alt 'P 42/m n m'
_space_group_IT_number 136
_space_group_name_Hall '-P 4n 2n'
loop_
_atom_site_label
_atom_site_type_symbol
_atom_site_fract_x
_atom_site_fract_y
_atom_site_fract_z
Li1 Li 0.000 0.000 0.183
Pt1 Pt 0.000 0.000 0.500
Au1 Au 0.223 0.223 0.000
Au2 Au 0.241 0.241 0.331
```

Record 9
Below is crystalline Pr2NdPd at its relaxed geometry, with properties calculated at the PBE level.

Calculated density   7.32 g/cm³
Calculated formation energy   -310 meV/atom
Magnetization   0.0004 μB/atom
Total energy   -20.76 eV per cell

```
data_Pr2NdPd
_chemical_formula_sum 'Pr2 Nd1 Pd1'
_cell_length_a 3.723
_cell_length_b 3.723
_cell_length_c 8.710
_cell_angle_alpha 90.00
_cell_angle_beta 90.00
_cell_angle_gamma 90.00
_space_group_name_H-M_alt 'P 4/m m m'
_space_group_IT_number 123
_space_group_name_Hall '-P 4 2'
loop_
_atom_site_label
_atom_site_type_symbol
_atom_site_fract_x
_atom_site_fract_y
_atom_site_fract_z
Pr1 Pr 0.000 0.000 0.200
Nd1 Nd 0.500 0.500 0.500
Pd1 Pd 0.500 0.500 0.000
```

Record 10
Below is crystalline AcBiAuS at its relaxed geometry, with properties calculated at the PBE level.

Calculated density   9.07 g/cm³
Formation energy without anion corrections   -1066 meV per atom
Magnetization   0.0000 μB/atom
Total energy   -117.95 eV per cell

```
data_AcBiAuS
_chemical_formula_sum 'Ac6 Bi6 Au6 S6'
_cell_length_a 4.8707
_cell_length_b 4.8707
_cell_length_c 35.5434
_cell_angle_alpha 90.00
_cell_angle_beta 90.00
_cell_angle_gamma 120.00
_space_group_name_H-M_alt 'R -3 m'
_space_group_IT_number 166
_space_group_name_Hall '-R 3 2"'
loop_
_atom_site_label
_atom_site_type_symbol
_atom_site_fract_x
_atom_site_fract_y
_atom_site_fract_z
Ac1 Ac 0.0000 0.0000 0.1123
Bi1 Bi 0.0000 0.0000 0.2951
Au1 Au 0.0000 0.0000 0.3834
S1 S 0.0000 0.0000 0.1971
```

Record 11
Below is crystalline NpNbVTc at its relaxed geometry, with properties calculated at the PBE level.

Calculated density   11.89 g/cm³
Calculated formation energy   236 meV/atom
Magnetization   0.6586 μB/atom
Total energy   -166.21 eV per cell

```
data_NpNbVTc
_chemical_formula_sum 'Np4 Nb4 V4 Tc4'
_cell_length_a 6.444
_cell_length_b 6.444
_cell_length_c 6.444
_cell_angle_alpha 90.00
_cell_angle_beta 90.00
_cell_angle_gamma 90.00
_space_group_name_H-M_alt 'F -4 3 m'
_space_group_IT_number 216
_space_group_name_Hall 'F -4 2 3'
loop_
_atom_site_label
_atom_site_type_symbol
_atom_site_fract_x
_atom_site_fract_y
_atom_site_fract_z
Np1 Np 0.000 0.000 0.000
Nb1 Nb 0.250 0.250 0.250
V1 V 0.250 0.250 0.750
Tc1 Tc 0.000 0.000 0.500
```

Record 12
Below is crystalline LaTlCu2 at its relaxed geometry, with properties calculated at the PBE level.

Calculated density   9.31 g/cm³
Calculated formation energy   7 meV/atom
Magnetization   0.0037 μB/atom
Total energy   -15.46 eV per cell

```
data_LaTlCu2
_chemical_formula_sum 'La1 Tl1 Cu2'
_cell_length_a 3.330
_cell_length_b 3.330
_cell_length_c 7.569
_cell_angle_alpha 90.00
_cell_angle_beta 90.00
_cell_angle_gamma 90.00
_space_group_name_H-M_alt 'P 4 m m'
_space_group_IT_number 99
_space_group_name_Hall 'P 4 -2'
loop_
_atom_site_label
_atom_site_type_symbol
_atom_site_fract_x
_atom_site_fract_y
_atom_site_fract_z
La1 La 0.000 0.000 0.000
Tl1 Tl 0.500 0.500 0.350
Cu1 Cu 0.000 0.000 0.588
Cu2 Cu 0.500 0.500 0.727
```

Record 13
Below is crystalline YSbBr2 at its relaxed geometry, with properties calculated at the PBE level.

Calculated density   5.79 g/cm³
Formation energy without anion corrections   -629 meV per atom
Magnetization   0.0000 μB/atom
Total energy   -32.89 eV per cell

```
data_YSbBr2
_chemical_formula_sum 'Y2 Sb2 Br4'
_cell_length_a 4.497
_cell_length_b 4.497
_cell_length_c 10.502
_cell_angle_alpha 90.00
_cell_angle_beta 90.00
_cell_angle_gamma 90.00
_space_group_name_H-M_alt 'I -4 m 2'
_space_group_IT_number 119
_space_group_name_Hall 'I -4 -2'
loop_
_atom_site_label
_atom_site_type_symbol
_atom_site_fract_x
_atom_site_fract_y
_atom_site_fract_z
Y1 Y 0.000 0.000 0.000
Sb1 Sb 0.000 0.500 0.250
Br1 Br 0.000 0.000 0.500
Br2 Br 0.000 0.500 0.750
```

Record 14
Below is crystalline Se3Br at its relaxed geometry, with properties calculated at the PBE level.

Calculated density   4.98 g/cm³
Formation energy without anion corrections   320 meV per atom
Magnetization   0.0000 μB/atom
Total energy   -21.69 eV per cell

```
data_Se3Br
_chemical_formula_sum 'Se6 Br2'
_cell_length_a 8.3055
_cell_length_b 8.3055
_cell_length_c 3.5350
_cell_angle_alpha 90.00
_cell_angle_beta 90.00
_cell_angle_gamma 120.00
_space_group_name_H-M_alt 'P 63/m m c'
_space_group_IT_number 194
_space_group_name_Hall '-P 6c 2c'
loop_
_atom_site_label
_atom_site_type_symbol
_atom_site_fract_x
_atom_site_fract_y
_atom_site_fract_z
Se1 Se 0.1437 0.2873 0.2500
Br1 Br 0.3333 0.6667 0.7500
```

Record 15
Below is crystalline ScZnAgCl6 at its relaxed geometry, with properties calculated at the PBE level.

Calculated density   3.31 g/cm³
Formation energy without anion corrections   -1375 meV per atom
Magnetization   0.0000 μB/atom
Total energy   -67.82 eV per cell

```
data_ScZnAgCl6
_chemical_formula_sum 'Sc2 Zn2 Ag2 Cl12'
_cell_length_a 6.4019
_cell_length_b 6.4019
_cell_length_c 12.1835
_cell_angle_alpha 90.00
_cell_angle_beta 90.00
_cell_angle_gamma 120.00
_space_group_name_H-M_alt 'P -3 1 c'
_space_group_IT_number 163
_space_group_name_Hall '-P 3 2c'
loop_
_atom_site_label
_atom_site_type_symbol
_atom_site_fract_x
_atom_site_fract_y
_atom_site_fract_z
Sc1 Sc 0.3333 0.6667 0.2500
Zn1 Zn 0.3333 0.6667 0.7500
Ag1 Ag 0.0000 0.0000 0.0000
Cl1 Cl 0.0020 0.3588 0.6340
```